(1)
A geometry-optimized La8NiIr3I4 structure, computed with PBE.

The structure in POSCAR format:
```
La8NiIr3I4
1.0
8.500 0.000 0.000
0.000 9.578 0.743
-4.250 -4.244 6.019
I La Ni Ir
4 8 1 3
Cartesian
2.125 -2.122 3.010
-2.125 -2.122 3.010
4.250 0.000 0.000
0.000 0.000 0.000
2.120 2.496 6.263
4.250 4.628 3.264
0.000 0.706 3.498
-2.120 2.496 6.263
2.130 2.838 0.499
4.250 0.723 3.501
0.000 4.611 3.261
6.370 2.838 0.499
0.000 4.789 0.371
-2.125 2.667 3.381
2.125 2.667 3.381
4.250 4.789 0.371
```

(2)
A geometry-optimized K2LiTaCl6 structure, computed with PBE.

The structure in POSCAR format:
```
K2LiTaCl6
1.0
0.000 5.038 5.038
5.038 0.000 5.038
5.038 5.038 0.000
Ta Cl K Li
1 6 2 1
Cartesian
0.000 0.000 0.000
2.477 5.038 5.038
5.038 5.038 7.599
7.599 5.038 5.038
5.038 7.599 5.038
5.038 2.477 5.038
5.038 5.038 2.477
7.557 7.557 7.557
2.519 2.519 2.519
5.038 5.038 5.038
```

(3)
A geometry-optimized MgAlHg structure, computed with PBE.

The structure in POSCAR format:
```
MgAlHg
1.0
-2.793 -1.375 -1.070
2.435 -1.897 1.145
-2.574 0.424 6.176
Hg Mg Al
1 1 1
Cartesian
-1.901 -1.409 1.709
-1.020 -1.441 4.515
-0.012 0.002 0.028
```

Calculated values
* ΔH_f (0 K): 0.034 eV/atom

no.,DOS(E_F) (states/eV/atom),E (eV per atom)
1,0.448,-5.90
2,0.697,-4.24
3,0.577,-1.85